Record 1
MgSc2Ta | PBE | relaxed

Computed properties:
- Space group: R3m
- Crystal system: trigonal
- Formation enthalpy at 0 K: 0.1806 eV/atom
- E: -25.388 eV/cell

abc: 10.5829 10.5829 10.5829
angles: 16.90 16.90 16.90
Fractional positions:
1 Mg 0.0000 0.0000 0.0000
2 Sc 0.5096 0.5096 0.5096
3 Sc 0.7537 0.7537 0.7537
4 Ta 0.2528 0.2528 0.2528

---

Record 2
K2SnPt3 | PBE | relaxed

Computed properties:
- Space group: Cmcm
- Crystal system: orthorhombic
- Formation enthalpy at 0 K: -0.2066 eV/atom
- E: -51.119 eV/cell

abc: 8.4038 8.4038 5.3591
angles: 90.00 90.00 56.67
Fractional positions:
1 K 0.0280 0.3334 0.2500
2 K 0.3334 0.0280 0.7500
3 K 0.6666 0.9720 0.2500
4 K 0.9720 0.6666 0.7500
5 Sn 0.2998 0.7002 0.2500
6 Sn 0.7002 0.2998 0.7500
7 Pt 0.0000 0.0000 0.0000
8 Pt 0.0000 0.0000 0.5000
9 Pt 0.3832 0.3832 0.0000
10 Pt 0.3832 0.3832 0.5000
11 Pt 0.6168 0.6168 0.0000
12 Pt 0.6168 0.6168 0.5000

---

Record 3
Tb2Ho4Er | PBE | relaxed

Computed properties:
- Space group: Cm
- Crystal system: monoclinic
- Formation enthalpy at 0 K: 0.0033 eV/atom
- E: -32.112 eV/cell

abc: 3.5529 3.5529 19.8624
angles: 90.00 90.00 60.00
Fractional positions:
1 Tb 0.0000 0.0000 0.0000
2 Tb 0.0009 0.0009 0.7140
3 Ho 0.3341 0.3341 0.5698
4 Ho 0.3339 0.3339 0.8569
5 Ho 0.6664 0.6664 0.1434
6 Ho 0.6669 0.6669 0.4264
7 Er 0.9997 0.9997 0.2842

---

Record 4
ReOsSe | PBE | relaxed

Computed properties:
- Space group: Fmm2
- Crystal system: orthorhombic
- Uncorrected formation energy: 0.79 eV per atom
- E: -24.781 eV/cell

abc: 7.7655 7.5158 2.7800
angles: 84.63 74.49 20.88
Fractional positions:
1 Re 0.0000 0.0000 0.0000
2 Os 0.6439 0.6439 0.3561
3 Se 0.3240 0.3240 0.6760

---

What is the E in the third record? -32.112 eV/cell

---

The lowest E belongs to which entry? K2SnPt3

---

Which value of E does entry 4 give? -24.781 eV/cell

---

Which of these has the lowest E? K2SnPt3